Entry 1:
Computed, not measured: a geometry-optimized TmH2S structure at the GGA-PBE level of DFT.

The structure in POSCAR format:
```
TmH2S
1.0
4.0805 0.0000 0.0000
-2.0403 3.5338 0.0000
0.0000 0.0000 9.5539
Tm H S
3 6 3
Cartesian
0.0000 0.0000 0.0000 Tm
0.0000 2.3559 6.3693 Tm
2.0403 1.1779 3.1846 Tm
0.0000 0.0000 2.1909 H
0.0000 0.0000 7.3630 H
0.0000 2.3559 4.1784 H
0.0000 2.3559 8.5602 H
2.0403 1.1779 0.9937 H
2.0403 1.1779 5.3755 H
0.0000 0.0000 4.7770 S
0.0000 2.3559 1.5923 S
2.0403 1.1779 7.9616 S
```

Entry 2:
Computed, not measured: a geometry-optimized Ga3TcBr structure at the GGA-PBE level of DFT.

Properties
The value obtained for the uncorrected formation energy is 2.50 kcal/mol of atoms.

The structure in POSCAR format:
```
Ga3TcBr
1.0
4.9378 0.0000 0.0000
0.0000 4.9378 0.0000
0.0000 0.0000 4.9378
Ga Tc Br
3 1 1
Cartesian
0.0000 0.0000 2.4689 Ga
0.0000 2.4689 0.0000 Ga
2.4689 0.0000 0.0000 Ga
0.0000 0.0000 0.0000 Tc
2.4689 2.4689 2.4689 Br
```

Entry 3:
Computed, not measured: a geometry-optimized CrSi2Se6 structure at the GGA-PBE level of DFT.

Properties
The value obtained for the uncorrected formation energy is -7.09 kcal/mol of atoms.

The structure in POSCAR format:
```
CrSi2Se6
1.0
6.0617 -5.4617 0.0000
6.0617 5.4617 0.0000
-1.2700 0.0000 6.3585
Cr Si Se
2 4 12
Cartesian
5.1092 4.3022 4.7689 Cr
5.7442 -4.3022 1.5896 Cr
2.8015 0.8965 4.2251 Si
3.4365 -0.8965 1.0458 Si
7.4169 0.8965 5.3127 Si
8.0519 -0.8965 2.1334 Si
0.4811 0.9198 3.9880 Se
3.3563 2.7337 5.4947 Se
1.1160 -0.9198 0.8088 Se
4.0711 0.9745 2.2805 Se
6.8620 2.7337 4.0431 Se
3.4361 -0.9745 5.4597 Se
7.4172 0.9745 0.8988 Se
3.9913 -2.7337 2.3154 Se
6.7823 -0.9745 4.0781 Se
9.7373 0.9198 5.5498 Se
7.4970 -2.7337 0.8639 Se
10.3723 -0.9198 2.3705 Se
```

Entry 4:
Computed, not measured: a geometry-optimized EuGdRuRh structure at the GGA-PBE level of DFT.

Properties
The calculation puts the formation energy at -241 meV/atom.

The structure in POSCAR format:
```
EuGdRuRh
1.0
6.9244 0.0000 0.0000
0.0000 6.9244 0.0000
0.0000 0.0000 6.9244
Eu Gd Ru Rh
4 4 4 4
Cartesian
0.0000 0.0000 0.0000 Eu
0.0000 3.4622 3.4622 Eu
3.4622 0.0000 3.4622 Eu
3.4622 3.4622 0.0000 Eu
0.0000 0.0000 3.4622 Gd
0.0000 3.4622 0.0000 Gd
3.4622 0.0000 0.0000 Gd
3.4622 3.4622 3.4622 Gd
1.7311 1.7311 1.7311 Ru
1.7311 5.1933 5.1933 Ru
5.1933 1.7311 5.1933 Ru
5.1933 5.1933 1.7311 Ru
1.7311 1.7311 5.1933 Rh
1.7311 5.1933 1.7311 Rh
5.1933 1.7311 1.7311 Rh
5.1933 5.1933 5.1933 Rh
```

Entry 5:
Computed, not measured: a geometry-optimized ErMgIrRu structure at the GGA-PBE level of DFT.

Properties
The calculation puts the formation energy at -349 meV/atom.

The structure in POSCAR format:
```
ErMgIrRu
1.0
6.5189 0.0000 0.0000
0.0000 6.5189 0.0000
0.0000 0.0000 6.5189
Er Mg Ir Ru
4 4 4 4
Cartesian
0.0000 0.0000 0.0000 Er
0.0000 3.2595 3.2595 Er
3.2595 0.0000 3.2595 Er
3.2595 3.2595 0.0000 Er
0.0000 0.0000 3.2595 Mg
0.0000 3.2595 0.0000 Mg
3.2595 0.0000 0.0000 Mg
3.2595 3.2595 3.2595 Mg
1.6297 1.6297 1.6297 Ir
1.6297 4.8892 4.8892 Ir
4.8892 1.6297 4.8892 Ir
4.8892 4.8892 1.6297 Ir
1.6297 1.6297 4.8892 Ru
1.6297 4.8892 1.6297 Ru
4.8892 1.6297 1.6297 Ru
4.8892 4.8892 4.8892 Ru
```

Entry 6:
Computed, not measured: a geometry-optimized Ru5RhW2 structure at the GGA-PBE level of DFT.

Properties
The calculation puts the formation energy at -73 meV/atom.

The structure in POSCAR format:
```
Ru5RhW2
1.0
5.4772 0.0000 0.0000
0.0000 5.4772 0.0000
0.0000 0.0000 7.7009
Ru Rh W
10 2 4
Cartesian
0.0000 0.0000 0.0000 Ru
1.3693 1.3693 1.9252 Ru
1.3693 1.3693 5.7757 Ru
1.3693 4.1079 1.9252 Ru
1.3693 4.1079 5.7757 Ru
2.7386 2.7386 3.8505 Ru
4.1079 1.3693 1.9252 Ru
4.1079 1.3693 5.7757 Ru
4.1079 4.1079 1.9252 Ru
4.1079 4.1079 5.7757 Ru
0.0000 0.0000 3.8505 Rh
2.7386 2.7386 0.0000 Rh
0.0000 2.7386 0.0000 W
0.0000 2.7386 3.8505 W
2.7386 0.0000 0.0000 W
2.7386 0.0000 3.8505 W
```

Entry 7:
Computed, not measured: a geometry-optimized Rb2TlBr2Cl2 structure at the GGA-PBE level of DFT.

Properties
The value obtained for the uncorrected formation energy is -30.98 kcal/mol of atoms.

The structure in POSCAR format:
```
Rb2TlBr2Cl2
1.0
5.5225 0.0000 0.0000
0.0000 5.5225 0.0000
0.0000 0.0000 17.6584
Rb Tl Br Cl
4 2 4 4
Cartesian
0.0000 0.0000 2.4128 Rb
0.0000 0.0000 15.2456 Rb
2.7613 2.7613 6.4164 Rb
2.7613 2.7613 11.2420 Rb
0.0000 0.0000 8.8292 Tl
2.7613 2.7613 0.0000 Tl
0.0000 0.0000 5.8503 Br
0.0000 0.0000 11.8081 Br
2.7613 2.7613 2.9789 Br
2.7613 2.7613 14.6796 Br
0.0000 2.7613 0.0000 Cl
0.0000 2.7613 8.8292 Cl
2.7613 0.0000 0.0000 Cl
2.7613 0.0000 8.8292 Cl
```

Entry 8:
Computed, not measured: a geometry-optimized Ac3TeSe6 structure at the GGA-PBE level of DFT.

Properties
The value obtained for the uncorrected formation energy is -33.30 kcal/mol of atoms.

The structure in POSCAR format:
```
Ac3TeSe6
1.0
5.9960 -7.4694 0.0000
5.9960 7.4694 0.0000
0.0000 0.0000 7.4337
Ac Te Se
6 2 12
Cartesian
5.9960 6.0312 3.7168 Ac
3.7310 1.5697 2.9849 Ac
3.7310 -1.5697 6.7018 Ac
8.2610 1.5697 2.9849 Ac
8.2610 -1.5697 6.7018 Ac
5.9960 -6.0312 0.0000 Ac
5.9960 2.3348 6.8322 Te
5.9960 -2.3348 3.1154 Te
4.1378 3.8752 5.1930 Se
1.9600 0.4285 5.2139 Se
1.9600 -0.4285 1.4970 Se
5.9960 3.4761 1.7857 Se
7.8542 3.8752 5.1930 Se
5.9960 0.1197 4.8360 Se
5.9960 -0.1197 1.1192 Se
4.1378 -3.8752 1.4761 Se
5.9960 -3.4761 5.5026 Se
10.0321 0.4285 5.2139 Se
10.0321 -0.4285 1.4970 Se
7.8542 -3.8752 1.4761 Se
```

| no. | final energy (eV per atom) | magnetization (μB per atom) |
| --- | --- | --- |
| 1 | -4.29 | 0.00 |
| 2 | -4.12 | 0.07 |
| 3 | -4.90 | 0.23 |
| 4 | -10.49 | 0.13 |
| 5 | -6.42 | 0.00 |
| 6 | -10.03 | 0.00 |
| 7 | -2.96 | 0.00 |
| 8 | -5.08 | 0.00 |